a.
Below is Hf2ThIn after structural relaxation, with properties calculated at the PBE level.

## Properties
V   24.47 Å³/atom

Unit cell a=4.4028 b=4.7146 c=4.7146 alpha=90.00 beta=90.00 gamma=90.00
Element x y z (fractional)
Hf: 0.0000 0.0000 0.5000
Hf: 0.0000 0.5000 0.0000
Th: 0.5000 0.5000 0.5000
In: 0.5000 0.0000 0.0000

***

b.
Below is Hf2ThIn after structural relaxation, with properties calculated at the PBE level.

## Properties
V   25.09 Å³/atom

Unit cell a=3.1974 b=3.1974 c=11.4851 alpha=82.00 beta=82.00 gamma=60.00
Element x y z (fractional)
Hf: 0.0918 0.0918 0.7245
Hf: 0.9082 0.9082 0.2755
Th: 0.0000 0.0000 0.0000
In: 0.5000 0.5000 0.5000

***

It turns out a is the most stable, with the second structure 330 meV per atom higher.

***

a.
Below is HfTi3In4 after structural relaxation, with properties calculated at the PBE level.

## Properties
V   20.42 Å³/atom

Unit cell a=5.3642 b=6.0940 c=9.9941 alpha=90.00 beta=90.00 gamma=90.00
Each line ends with the local moment (μB).
Element x y z (fractional)
Hf: 0.7910 0.3501 0.0000  -0.02
Hf: 0.2910 0.6499 0.5000  -0.02
Ti: 0.7487 0.8839 0.0000  0.01
Ti: 0.1045 0.8948 0.2439  0.23
Ti: 0.6045 0.1052 0.2561  0.23
Ti: 0.2487 0.1161 0.5000  0.01
Ti: 0.6045 0.1052 0.7439  0.23
Ti: 0.1045 0.8948 0.7561  0.23
In: 0.2561 0.6268 0.0000  0.01
In: 0.2924 0.1225 0.0000  0.00
In: 0.1090 0.3711 0.2627  0.00
In: 0.6090 0.6289 0.2373  0.00
In: 0.7924 0.8775 0.5000  0.00
In: 0.7561 0.3732 0.5000  0.01
In: 0.6090 0.6289 0.7627  0.00
In: 0.1090 0.3711 0.7373  0.00

***

b.
Below is HfTi3In4 after structural relaxation, with properties calculated at the PBE level.

## Properties
V   19.92 Å³/atom

Unit cell a=5.2645 b=6.1280 c=9.8782 alpha=90.00 beta=90.00 gamma=90.00
Element x y z (fractional)
In: 0.5000 0.7550 0.0000
In: 0.5000 0.7550 0.5000
In: 0.5000 0.2450 0.0000
In: 0.5000 0.2450 0.5000
In: 0.1647 0.7545 0.7500
In: 0.8353 0.7545 0.2500
In: 0.8353 0.2455 0.2500
In: 0.1647 0.2455 0.7500
Hf: 0.0000 0.5000 0.0000
Hf: 0.0000 0.5000 0.5000
Ti: 0.0000 0.0000 0.0000
Ti: 0.0000 0.0000 0.5000
Ti: 0.6909 0.0000 0.7500
Ti: 0.3091 0.0000 0.2500
Ti: 0.6804 0.5000 0.7500
Ti: 0.3196 0.5000 0.2500

***

It turns out b is the most stable, with the second structure 76 meV per atom higher.

***

a.
Below is Hf2TiIn2 after structural relaxation, with properties calculated at the PBE level.

## Properties
V   21.28 Å³/atom

Unit cell a=3.0587 b=3.0626 c=11.4593 alpha=82.32 beta=90.00 gamma=90.00
Element x y z (fractional)
Hf: 0.0000 0.1927 0.6145
Hf: 0.0000 0.8073 0.3855
Ti: 0.0000 0.0000 0.0000
In: 0.5000 0.4079 0.1842
In: 0.5000 0.5921 0.8158

***

b.
Below is Hf2TiIn2 after structural relaxation, with properties calculated at the PBE level.

## Properties
V   21.83 Å³/atom

Unit cell a=7.4169 b=7.4169 c=3.9691 alpha=90.00 beta=90.00 gamma=90.00
Each line ends with the local moment (μB).
Element x y z (fractional)
Ti: 0.0000 0.0000 0.0000  0.90
Ti: 0.5000 0.5000 0.0000  0.89
Hf: 0.1713 0.6713 0.5000  0.13
Hf: 0.6713 0.8287 0.5000  0.13
Hf: 0.8287 0.3287 0.5000  0.13
Hf: 0.3287 0.1713 0.5000  0.13
In: 0.3661 0.8661 0.0000  -0.01
In: 0.8661 0.6339 0.0000  -0.01
In: 0.6339 0.1339 0.0000  -0.01
In: 0.1339 0.3661 0.0000  -0.01

***

c.
Below is Hf2TiIn2 after structural relaxation, with properties calculated at the PBE level.

## Properties
V   21.28 Å³/atom

Unit cell a=4.6364 b=5.9767 c=8.0215 alpha=90.00 beta=106.80 gamma=90.00
Each line ends with the local moment (μB).
Element x y z (fractional)
Hf: 0.4003 0.5798 0.8007  0.01
Hf: 0.7892 0.8234 0.5785  0.01
Hf: 0.2108 0.3234 0.4215  0.01
Hf: 0.5997 0.0798 0.1993  0.01
Ti: 0.3956 0.0699 0.7911  0.06
Ti: 0.6044 0.5699 0.2089  0.06
In: 0.9841 0.8426 0.9682  0.00
In: 0.8190 0.3186 0.6379  0.00
In: 0.1810 0.8186 0.3621  0.00
In: 0.0159 0.3426 0.0318  0.00

***

It turns out c is the most stable, with the second structure 35 meV per atom higher.

***

a.
Below is HfTi2In2 after structural relaxation, with properties calculated at the PBE level.

## Properties
V   20.30 Å³/atom

Unit cell a=2.9979 b=2.9740 c=11.4827 alpha=82.56 beta=90.00 gamma=90.00
Each line ends with the local moment (μB).
Element x y z (fractional)
Hf: 0.0000 0.0000 0.0000  0.01
Ti: 0.0000 0.1996 0.6008  0.33
Ti: 0.0000 0.8004 0.3992  0.33
In: 0.5000 0.3967 0.2066  0.00
In: 0.5000 0.6033 0.7934  0.00

***

b.
Below is HfTi2In2 after structural relaxation, with properties calculated at the PBE level.

## Properties
V   20.40 Å³/atom

Unit cell a=8.2050 b=8.2050 c=3.0303 alpha=90.00 beta=90.00 gamma=90.00
Each line ends with the local moment (μB).
Element x y z (fractional)
Ti: 0.3874 0.8874 0.0000  0.71
Ti: 0.8874 0.6126 0.0000  0.71
Ti: 0.6126 0.1126 0.0000  0.71
Ti: 0.1126 0.3874 0.0000  0.71
Hf: 0.0000 0.0000 0.0000  -0.01
Hf: 0.5000 0.5000 0.0000  -0.01
In: 0.1825 0.6825 0.5000  0.00
In: 0.6825 0.8175 0.5000  0.00
In: 0.8175 0.3175 0.5000  0.00
In: 0.3175 0.1825 0.5000  0.00

***

It turns out a is the most stable, with the second structure 47 meV per atom higher.